This record from Alexandria via LeMat-Bulk describes a geometry-optimized KLiAl2 structure. The functional is PBE.

POSCAR file:
```
KLiAl2
1.0
-6.311 0.974 0.846
-4.413 -4.666 -0.494
5.132 2.789 2.715
Al K Li
2 1 1
Direct
0.035 0.035 0.000
0.465 0.465 0.000
0.750 0.250 0.500
0.250 0.750 0.500
```

Summary:
As for the total energy: -2.344 eV/atom. As for the mass density: 1.84 g cm⁻³. For the excess energy over the best structure of this formula in the dataset, the calculation gives 155.4 meV/atom. The value obtained for the formation energy is 27.07 kJ per mole of atoms.


This record from Alexandria via LeMat-Bulk describes a geometry-optimized KLiAl2 structure. The functional is PBE.

POSCAR file:
```
KLiAl2
1.0
-3.360 -0.489 4.130
-3.024 -1.429 -2.629
1.344 -3.989 0.622
Li Al K
1 2 1
Direct
0.500 0.000 0.500
0.000 0.000 0.000
0.000 0.500 0.500
0.500 0.500 0.000
```

Summary:
As for the total energy: -2.270 eV/atom. As for the mass density: 1.72 g cm⁻³. For the excess energy over the best structure of this formula in the dataset, the calculation gives 228.8 meV/atom. The value obtained for the formation energy is 34.15 kJ per mole of atoms.


This record from Alexandria via LeMat-Bulk describes a geometry-optimized KLiAl2 structure. The functional is PBE.

POSCAR file:
```
KLiAl2
1.0
-3.270 2.734 -1.114
-1.307 -2.147 -1.436
-5.112 -4.063 5.036
Li Al K
1 2 1
Direct
0.500 0.750 0.750
0.000 0.423 0.580
0.000 0.077 0.920
0.500 0.250 0.250
```

Summary:
As for the total energy: -2.479 eV/atom. As for the mass density: 1.68 g cm⁻³. For the excess energy over the best structure of this formula in the dataset, the calculation gives 20.5 meV/atom. The value obtained for the formation energy is 14.05 kJ per mole of atoms.


This record from Alexandria via LeMat-Bulk describes a geometry-optimized KLiAl2 structure. The functional is PBE.

POSCAR file:
```
KLiAl2
1.0
4.460 0.000 0.000
0.000 3.124 -0.010
0.000 0.580 7.348
Li Al K
1 2 1
Direct
0.500 0.675 0.863
0.000 0.147 0.979
0.500 0.117 0.178
0.000 0.561 0.479
```

Summary:
As for the total energy: -2.499 eV/atom. As for the mass density: 1.62 g cm⁻³. For the excess energy over the best structure of this formula in the dataset, the calculation gives 0.0 meV/atom. The value obtained for the formation energy is 12.07 kJ per mole of atoms.


This record from Alexandria via LeMat-Bulk describes a geometry-optimized K2LiAl2 structure. The functional is PBE.

POSCAR file:
```
K2LiAl2
1.0
7.437 0.000 0.000
0.000 7.437 0.000
0.000 0.000 5.936
Li K Al
2 4 4
Direct
0.000 0.000 0.000
0.500 0.500 0.000
0.681 0.819 0.500
0.319 0.181 0.500
0.819 0.319 0.500
0.181 0.681 0.500
0.377 0.877 0.000
0.877 0.623 0.000
0.623 0.123 0.000
0.123 0.377 0.000
```

Summary:
As for the total energy: -2.026 eV/atom. As for the mass density: 1.41 g cm⁻³. For the excess energy over the best structure of this formula in the dataset, the calculation gives 0.0 meV/atom. The value obtained for the formation energy is 28.22 kJ per mole of atoms.


This record from Alexandria via LeMat-Bulk describes a geometry-optimized KLiAl2 structure. The functional is PBE.

POSCAR file:
```
KLiAl2
1.0
-4.193 -2.428 3.155
3.797 -1.059 4.230
-0.641 2.748 1.263
Li Al K
1 2 1
Direct
0.000 0.500 0.500
0.000 0.000 0.000
0.500 0.500 0.000
0.500 0.000 0.500
```

Summary:
As for the total energy: -2.154 eV/atom. As for the mass density: 1.61 g cm⁻³. For the excess energy over the best structure of this formula in the dataset, the calculation gives 344.5 meV/atom. The value obtained for the formation energy is 45.31 kJ per mole of atoms.


mass density of number 1 (KLiAl2)? 1.84 g cm⁻³


Look up the mass density of the third one. 1.68 g cm⁻³


The highest formation energy belongs to which entry? number 6